Below is crystalline SrCa2HoHg4 at its relaxed geometry, with properties calculated at the PBE level.

Values from the calculation:
E_form = -521 meV/atom
SG = R-3m, No. 166
Final energy = -15.63 eV/f.u.

Lattice parameters (Å, degrees): 9.388 9.388 9.388 33.28 33.28 33.28
Element x y z (fractional)
Sr1 0.000 0.000 0.000
Ca1 0.249 0.249 0.249
Ca2 0.751 0.751 0.751
Ho1 0.500 0.500 0.500
Hg1 0.129 0.129 0.129
Hg2 0.380 0.380 0.380
Hg3 0.620 0.620 0.620
Hg4 0.871 0.871 0.871


Below is crystalline NdSmInRu at its relaxed geometry, with properties calculated at the PBE level.

Values from the calculation:
E_form = -330 meV/atom
SG = P4mm, No. 99
Final energy = -22.82 eV/f.u.
Energy relative to the lowest polymorph listed for this composition = 0.000 eV/atom

Lattice parameters (Å, degrees): 3.442 3.442 8.609 90.00 90.00 90.00
Element x y z (fractional)
Nd1 0.000 0.000 0.000
Sm1 0.000 0.000 0.595
In1 0.500 0.500 0.300
Ru1 0.500 0.500 0.793